# 1
First-principles (PBE-GGA) data for NiSnPt2 after structural relaxation, as listed in the Alexandria database.

Properties
* symmetry: I-42d
* formation energy: -0.08 eV/atom
* calculated volume: 137.6 Å³/cell

Cell and atoms, written as extended XYZ:
```
8
Lattice="-1.937 1.937 9.170 1.937 -1.937 9.170 1.937 1.937 -9.170" Properties=species:S:1:pos:R:3 pbc="T T T"
Ni 0.000 0.000 0.000
Ni 0.000 1.937 4.585
Sn 1.937 0.000 4.585
Sn 0.000 0.000 9.170
Pt 2.905 0.910 -2.293
Pt 0.910 0.968 2.293
Pt -0.968 1.026 6.878
Pt 1.026 0.968 11.463
```


# 2
First-principles (PBE-GGA) data for NiSnPt3 after structural relaxation, as listed in the Alexandria database.

Properties
* symmetry: Pnma
* formation energy: -0.29 eV/atom
* calculated volume: 313.7 Å³/cell
* distance to the lowest polymorph of the same formula: 0.000 eV per atom

Cell and atoms, written as extended XYZ:
```
20
Lattice="5.624 0.000 0.000 0.000 4.013 0.000 0.000 0.000 13.900" Properties=species:S:1:pos:R:3 pbc="T T T"
Ni 0.704 1.003 0.659
Ni 2.108 3.010 7.609
Ni 3.516 1.003 6.291
Ni 4.920 3.010 13.240
Sn 0.546 1.003 8.992
Sn 2.266 3.010 2.042
Sn 3.358 1.003 11.858
Sn 5.078 3.010 4.908
Pt 0.529 1.003 11.945
Pt 0.851 1.003 6.322
Pt 0.926 1.003 3.398
Pt 1.887 3.010 10.348
Pt 1.962 3.010 13.272
Pt 2.284 3.010 4.995
Pt 3.341 1.003 8.905
Pt 3.663 1.003 0.628
Pt 3.738 1.003 3.552
Pt 4.699 3.010 10.502
Pt 4.774 3.010 7.578
Pt 5.096 3.010 1.955
```


# 3
First-principles (PBE-GGA) data for NiSn2Pt6 after structural relaxation, as listed in the Alexandria database.

Properties
* symmetry: C2/m
* formation energy: -0.16 eV/atom
* calculated volume: 155.4 Å³/cell

Cell and atoms, written as extended XYZ:
```
9
Lattice="4.825 -2.733 0.000 4.825 2.733 0.000 -1.246 0.000 5.893" Properties=species:S:1:pos:R:3 pbc="T T T"
Ni 0.000 0.000 0.000
Sn 2.232 0.000 4.962
Sn 6.173 0.000 0.931
Pt 3.653 1.330 1.657
Pt 1.271 0.000 2.188
Pt 4.751 1.330 4.236
Pt 3.653 -1.330 1.657
Pt 7.134 0.000 3.705
Pt 4.751 -1.330 4.236
```


# 4
First-principles (PBE-GGA) data for Ni5Sn2Pt after structural relaxation, as listed in the Alexandria database.

Properties
* symmetry: I4/mmm
* formation energy: -0.22 eV/atom
* calculated volume: 110.0 Å³/cell

Cell and atoms, written as extended XYZ:
```
8
Lattice="-2.713 2.713 3.734 2.713 -2.713 3.734 2.713 2.713 -3.734" Properties=species:S:1:pos:R:3 pbc="T T T"
Ni 0.000 0.000 0.000
Ni 1.357 1.357 -1.867
Ni 1.357 -1.357 1.867
Ni -1.357 1.357 1.867
Ni 1.357 1.357 1.867
Sn 2.713 0.000 0.000
Sn 0.000 2.713 0.000
Pt 0.000 0.000 3.734
```